1.
# Pr3Sm2Er | OQMD | GGA-PBE | relaxed
# Total magnetization ... 0.0007 μB per atom
# E_form ... -0.005 eV per atom
data_Pr3Sm2Er
_chemical_formula_sum 'Pr12 Sm8 Er4'
_symmetry_space_group_name_H-M 'C m c m'
_symmetry_Int_Tables_number 63
_symmetry_space_group_name_Hall '-C 2c 2'
_cell_length_a 10.991
_cell_length_b 6.344
_cell_length_c 11.736
_cell_angle_alpha 90.00
_cell_angle_beta 90.00
_cell_angle_gamma 90.00
loop_
_atom_site_label
_atom_site_type_symbol
_atom_site_fract_x
_atom_site_fract_y
_atom_site_fract_z
_atom_site_occupancy
Pr1 Pr 0.000 0.000 0.000 1
Pr2 Pr 0.165 0.500 0.000 1
Sm1 Sm 0.167 0.167 0.250 1
Er1 Er 0.000 0.333 0.750 1


2.
# PrErSn | OQMD | GGA-PBE | relaxed
# Total magnetization ... 0.0071 μB per atom
data_PrErSn
_chemical_formula_sum 'Pr4 Er4 Sn4'
_symmetry_space_group_name_H-M 'F -4 3 m'
_symmetry_Int_Tables_number 216
_symmetry_space_group_name_Hall 'F -4 2 3'
_cell_length_a 7.380
_cell_length_b 7.380
_cell_length_c 7.380
_cell_angle_alpha 90.00
_cell_angle_beta 90.00
_cell_angle_gamma 90.00
loop_
_atom_site_label
_atom_site_type_symbol
_atom_site_fract_x
_atom_site_fract_y
_atom_site_fract_z
_atom_site_occupancy
Pr1 Pr 0.000 0.000 0.000 1
Er1 Er 0.000 0.000 0.500 1
Sn1 Sn 0.250 0.250 0.750 1


no.,final energy (eV per atom)
1,-4.723
2,-4.842